Below is Ba8Cd2Ag after structural relaxation, with properties calculated at the PBE-GGA level.

Calculated values
E_tot, eV per atom: -1.9615
ΔE_f, kJ/mol of formula units: -145.9
N(E_F), states/eV/atom: 1.3500

Cell lengths 6.0232, 8.3208, 11.1829 Å; angles 105.72, 105.62, 90.00 degrees
Element x y z (fractional)
Ba 0.4066 0.5633 0.8132
Ba 0.6627 0.9679 0.3254
Ba 0.7920 0.6854 0.5841
Ba 0.9684 0.2032 0.9368
Ba 0.2080 0.3146 0.4159
Ba 0.3373 0.0321 0.6746
Ba 0.5934 0.4367 0.1868
Ba 0.0316 0.7968 0.0632
Cd 0.8151 0.2831 0.6301
Cd 0.1849 0.7169 0.3699
Ag 0.5000 0.0000 0.0000

***

Below is BaCdAg2 after structural relaxation, with properties calculated at the PBE-GGA level.

Calculated values
E_tot, eV per atom: -2.1610
ΔE_f, kJ/mol of formula units: -10.0
N(E_F), states/eV/atom: 0.3257

Cell lengths 5.1438, 5.1439, 4.3303 Å; angles 90.00, 90.00, 90.00 degrees
Element x y z (fractional)
Ba 0.5000 0.0000 0.5000
Ag 0.0000 0.0000 0.0000
Ag 0.5000 0.5000 0.0000
Cd 0.0000 0.5000 0.5000

***

Below is BaCd3Ag after structural relaxation, with properties calculated at the PBE-GGA level.

Calculated values
E_tot, eV per atom: -1.7537
ΔE_f, kJ/mol of formula units: -120.5
N(E_F), states/eV/atom: 0.6714

Cell lengths 6.6182, 7.1272, 6.8643 Å; angles 118.79, 90.00, 90.00 degrees
Element x y z (fractional)
Ba 0.2500 0.5104 0.7552
Ba 0.7500 0.4896 0.2448
Cd 0.5000 0.0000 0.2710
Cd 0.5000 0.0000 0.7290
Cd 0.0000 0.0000 0.2710
Cd 0.0000 0.0000 0.7290
Cd 0.2500 0.2584 0.1292
Cd 0.7500 0.7416 0.8708
Ag 0.2500 0.7112 0.3556
Ag 0.7500 0.2888 0.6444